1.
Entry from Alexandria: a relaxed BaFeCO2 crystal (GGA+U).

Cell: 4.5570 4.5570 5.3588 Å, 90.00 90.00 90.00°
Closest atoms and distances in Å follow each position.
Space group P4/mmm (No. 123)
Inequivalent atoms, fractional coordinates:
Ba (0.0000, 0.0000, 0.0000)  4 O 2.28
Fe (0.5000, 0.5000, 0.5000)  4 C 3.22, 8 O 3.52
C (0.0000, 0.0000, 0.5000)  2 Ba 2.68
O (0.0000, 0.5000, 0.0000)  2 Ba 2.28

## Properties
total energy: -4.12 eV/atom

---

2.
Entry from Alexandria: a relaxed BaFe2C2O7 crystal (GGA+U).

Cell: 5.1945 5.1945 27.3523 Å, 90.00 90.00 120.00°
Closest atoms and distances in Å follow each position.
Space group R32 (No. 155, hexagonal axes)
Inequivalent atoms, fractional coordinates:
Ba (0.0000, 0.0000, 0.0000)  6 O 2.75
Fe (0.0000, 0.0000, 0.4336)  1 O 1.82
C (0.0000, 0.0000, 0.2720)  3 O 1.30
O (0.0000, 0.0000, 0.5000)  2 Fe 1.82
O (0.0588, 0.4520, 0.9400)  1 C 1.30

## Properties
total energy: -7.03 eV/atom

---

- Which of these has the lowest total energy?
  BaFe2C2O7